Record 1
# MnOs2Br

MnOs2Br after structural relaxation (PBE, the Alexandria database).

a = 10.864 Å, b = 2.822 Å, c = 4.182 Å
α = 90.00°, β = 98.58°, γ = 90.00°
Space group C2/m (No. 12)
Symmetry-distinct sites (fractional):
Mn 0.000 0.000 0.000 x2
Os 0.208 0.500 0.221 x4
Br 0.000 0.500 0.500 x2

As for the total magnetization: 5.42 Bohr magnetons per cell. The formation energy from raw total energies comes out at 0.793 eV/atom. The crystal system is monoclinic.

---

Record 2
# MnOs3Br

MnOs3Br after structural relaxation (PBE, the Alexandria database).

a = 4.507 Å, b = 4.507 Å, c = 4.507 Å
α = 90.00°, β = 90.00°, γ = 90.00°
Space group Pm-3m (No. 221)
Symmetry-distinct sites (fractional):
Mn 0.000 0.000 0.000 x1
Os 0.000 0.500 0.500 x3
Br 0.500 0.500 0.500 x1

As for the total magnetization: 0.39 Bohr magnetons per cell. The formation energy from raw total energies comes out at 2.780 eV/atom. The crystal system is cubic.

---

Record 3
# MnOs2Br

MnOs2Br after structural relaxation (PBE, the Alexandria database).

a = 6.214 Å, b = 6.214 Å, c = 6.214 Å
α = 90.00°, β = 90.00°, γ = 90.00°
Space group Fm-3m (No. 225)
Symmetry-distinct sites (fractional):
Mn 0.000 0.000 0.000 x4
Os 0.250 0.250 0.250 x8
Br 0.000 0.000 0.500 x4

As for the total magnetization: 10.89 Bohr magnetons per cell. The formation energy from raw total energies comes out at 1.242 eV/atom. The crystal system is cubic.